(1)
Density functional theory data (PBE-GGA) for Ac2Tl2Pt3 after structural relaxation.

Geometry as CIF:
```
data_Ac2Tl2Pt3
_chemical_formula_sum 'Ac8 Tl8 Pt12'
_cell_length_a 16.246
_cell_length_b 4.373
_cell_length_c 13.242
_cell_angle_alpha 90.00
_cell_angle_beta 125.23
_cell_angle_gamma 90.00
_space_group_name_H-M_alt 'C 1 2/m 1'
_space_group_IT_number 12
loop_
_space_group_symop_operation_xyz
'x,y,z'
'-x,-y,-z'
'-x,y,-z'
'x,-y,z'
'x+1/2,y+1/2,z'
'-x+1/2,-y+1/2,-z'
'-x+1/2,y+1/2,-z'
'x+1/2,-y+1/2,z'
loop_
_atom_site_label
_atom_site_fract_x
_atom_site_fract_y
_atom_site_fract_z
Ac1 0.111 0.000 0.458
Ac2 0.228 0.000 0.828
Tl1 0.053 0.500 0.819
Tl2 0.094 0.000 0.163
Pt1 0.076 0.500 0.623
Pt2 0.130 0.000 0.980
Pt3 0.167 0.500 0.330
```

(2)
Density functional theory data (PBE-GGA) for Ac2TlPt2 after structural relaxation.

Geometry as CIF:
```
data_Ac2TlPt2
_chemical_formula_sum 'Ac4 Tl2 Pt4'
_cell_length_a 8.249
_cell_length_b 8.249
_cell_length_c 4.051
_cell_angle_alpha 90.00
_cell_angle_beta 90.00
_cell_angle_gamma 90.00
_space_group_name_H-M_alt 'P 4/m b m'
_space_group_IT_number 127
_space_group_name_Hall '-P 4 2ab'
loop_
_atom_site_label
_atom_site_fract_x
_atom_site_fract_y
_atom_site_fract_z
Ac1 0.173 0.327 0.000
Tl1 0.000 0.000 0.500
Pt1 0.126 0.626 0.500
```

(3)
# PBE-GGA Ac3TlPt, optimized geometry
data_Ac3TlPt
_chemical_formula_sum 'Ac12 Tl4 Pt4'
_cell_length_a 10.378
_cell_length_b 4.382
_cell_length_c 16.350
_cell_angle_alpha 90.00
_cell_angle_beta 90.00
_cell_angle_gamma 90.00
_space_group_name_H-M_alt 'P n m a'
_space_group_IT_number 62
loop_
_space_group_symop_operation_xyz
'x,y,z'
'-x,-y,-z'
'-x+1/2,-y,z+1/2'
'x+1/2,y,-z+1/2'
'x+1/2,-y+1/2,-z+1/2'
'-x+1/2,y+1/2,z+1/2'
'-x,y+1/2,-z'
'x,-y+1/2,z'
loop_
_atom_site_label
_atom_site_fract_x
_atom_site_fract_y
_atom_site_fract_z
Ac1 0.016 0.250 0.109
Ac2 0.164 0.250 0.515
Ac3 0.209 0.750 0.282
Tl1 0.060 0.750 0.674
Pt1 0.166 0.250 0.946
# **Excess energy over the best structure of this formula in the dataset**: 0.0 kJ/mol of atoms

(4)
# PBE-GGA Ac6TlPt2, optimized geometry
data_Ac6TlPt2
_chemical_formula_sum 'Ac12 Tl2 Pt4'
_cell_length_a 13.729
_cell_length_b 5.915
_cell_length_c 10.476
_cell_angle_alpha 90.00
_cell_angle_beta 123.65
_cell_angle_gamma 90.00
_space_group_name_H-M_alt 'C 1 2/m 1'
_space_group_IT_number 12
loop_
_space_group_symop_operation_xyz
'x,y,z'
'-x,-y,-z'
'-x,y,-z'
'x,-y,z'
'x+1/2,y+1/2,z'
'-x+1/2,-y+1/2,-z'
'-x+1/2,y+1/2,-z'
'x+1/2,-y+1/2,z'
loop_
_atom_site_label
_atom_site_fract_x
_atom_site_fract_y
_atom_site_fract_z
Ac1 0.015 0.000 0.188
Ac2 0.146 0.500 0.517
Ac3 0.206 0.500 0.120
Tl1 0.000 0.000 0.500
Pt1 0.214 0.000 0.126
# **Excess energy over the best structure of this formula in the dataset**: 10.6 kJ/mol of atoms

(5)
Density functional theory data (PBE-GGA) for Ac4Tl5Pt2 after structural relaxation.

Geometry as CIF:
```
data_Ac4Tl5Pt2
_chemical_formula_sum 'Ac4 Tl5 Pt2'
_cell_length_a 8.313
_cell_length_b 4.062
_cell_length_c 10.292
_cell_angle_alpha 90.00
_cell_angle_beta 94.61
_cell_angle_gamma 90.00
_space_group_name_H-M_alt 'P 1 2/m 1'
_space_group_IT_number 10
loop_
_space_group_symop_operation_xyz
'x,y,z'
'-x,-y,-z'
'-x,y,-z'
'x,-y,z'
loop_
_atom_site_label
_atom_site_fract_x
_atom_site_fract_y
_atom_site_fract_z
Ac1 0.185 0.000 0.347
Ac2 0.221 0.000 0.935
Tl1 0.168 0.500 0.642
Tl2 0.458 0.500 0.174
Tl3 0.500 0.500 0.500
Pt1 0.074 0.500 0.135
```

(6)
Density functional theory data (PBE-GGA) for AcTl2Pt after structural relaxation.

Geometry as CIF:
```
data_AcTl2Pt
_chemical_formula_sum 'Ac1 Tl2 Pt1'
_cell_length_a 3.732
_cell_length_b 3.732
_cell_length_c 7.522
_cell_angle_alpha 90.00
_cell_angle_beta 90.00
_cell_angle_gamma 90.00
_space_group_name_H-M_alt 'P 4/m m m'
_space_group_IT_number 123
_space_group_name_Hall '-P 4 2'
loop_
_atom_site_label
_atom_site_fract_x
_atom_site_fract_y
_atom_site_fract_z
Ac1 0.000 0.000 0.000
Tl1 0.500 0.500 0.302
Pt1 0.000 0.000 0.500
```

Table of E_form (eV per atom), in record order: -0.6867, -0.9657, -0.6194, -0.4953, -0.5965, -0.1859
Table of E_tot (eV per atom), in record order: -5.126, -5.499, -4.766, -4.840, -4.264, -3.906
Table of V (Å³/cell), in record order: 768.43, 275.63, 743.55, 708.16, 346.39, 104.78